First-principles (PBE-GGA) data for an optimized crystal structure of BeSn2I, as listed in Alexandria.

The space group is I-42d (No. 122) and the conventional cell measures 6.345, 6.345 and 12.647 Å, with angles of 90.00, 90.00 and 90.00 degrees. The asymmetric unit holds Be at (0.000, 0.000, 0.000), Sn at (0.125, 0.250, 0.125) and I at (0.000, 0.000, 0.500).

The energy relative to the elements, uncorrected is 0.283 eV per atom. Its relative energy among the computed polymorphs is 0.000 eV per atom. For the calculated volume, the calculation gives 31.82 A^3/atom. The value obtained for the total magnetization is 0.000 μB per atom. The calculation puts the density of states at the Fermi level at 2.9 states/eV/f.u.